(1)
ScTi3Pd12: relaxed, GGA-PBE.

Computed properties:
D(E_F) ... 0.152 states/eV/atom
DFT total energy ... -103.6 eV per formula unit
Space-group type ... No. 123
Calculated formation energy ... -0.707 eV/atom

Cell lengths 3.947, 3.947, 15.778 Å; angles 90.00, 90.00, 90.00 degrees
Element x y z (fractional)
Pd  0.000  0.500  0.869
Pd  0.000  0.500  0.131
Pd  0.500  0.500  0.254
Pd  0.500  0.000  0.131
Pd  0.500  0.000  0.377
Pd  0.500  0.500  0.000
Pd  0.500  0.500  0.746
Pd  0.500  0.500  0.500
Pd  0.000  0.500  0.623
Pd  0.000  0.500  0.377
Pd  0.500  0.000  0.623
Pd  0.500  0.000  0.869
Sc  0.000  0.000  0.000
Ti  0.000  0.000  0.249
Ti  0.000  0.000  0.751
Ti  0.000  0.000  0.500

***

(2)
ScTi5Pd6: relaxed, GGA-PBE.

Computed properties:
D(E_F) ... 1.174 states/eV/atom
DFT total energy ... -83.6 eV per formula unit
Space-group type ... No. 71
Calculated formation energy ... -0.555 eV/atom

Cell lengths 4.081, 7.682, 7.520 Å; angles 120.71, 105.75, 90.00 degrees
Last column: magnetic moment on the atom in μB.
Element x y z (fractional)
Ti  0.682  0.182  0.364  0.43
Ti  0.341  0.341  0.681  0.31
Ti  0.000  0.500  0.000  -0.10
Ti  0.659  0.659  0.319  0.31
Ti  0.318  0.818  0.636  0.43
Pd  0.168  0.413  0.336  0.01
Pd  0.832  0.077  0.664  0.01
Pd  0.832  0.587  0.664  0.01
Pd  0.500  0.755  0.000  0.01
Pd  0.168  0.923  0.336  0.01
Pd  0.500  0.245  0.000  0.01
Sc  0.000  0.000  0.000  0.06

***

(3)
ScTiPd2: relaxed, GGA-PBE.

Computed properties:
D(E_F) ... 1.128 states/eV/atom
DFT total energy ... -25.9 eV per formula unit
Space-group type ... No. 122
Calculated formation energy ... -0.327 eV/atom

Cell lengths 7.153, 7.153, 5.801 Å; angles 51.94, 51.94, 90.00 degrees
Last column: magnetic moment on the atom in μB.
Element x y z (fractional)
Ti  0.000  0.000  0.000  0.77
Ti  0.750  0.250  0.500  0.77
Sc  0.250  0.750  0.500  0.24
Sc  0.500  0.500  0.000  0.25
Pd  0.108  0.625  0.250  0.04
Pd  0.642  0.125  0.250  0.04
Pd  0.375  0.358  0.750  0.04
Pd  0.875  0.892  0.750  0.04